Compound: La3Pr2Pb3
Source: Alexandria via LeMat-Bulk
Functional: PBE
Structure: optimized geometry

total energy	-79.725	eV per cell
space group	P6_3/mcm, No. 193
M_tot	0.5	μB/f.u.
calculated formation energy	-549.5	meV per atom

Cell and atoms, written as CIF:
```
data_La3Pr2Pb3
_space_group_name_H-M_alt 'P 1'
_space_group_IT_number 1
_space_group_name_Hall 'P 1'
_cell_length_a 9.5876
_cell_length_b 9.5876
_cell_length_c 6.9706
_cell_angle_alpha 90.00
_cell_angle_beta 90.00
_cell_angle_gamma 120.00
loop_
_atom_site_label
_atom_site_type_symbol
_atom_site_fract_x
_atom_site_fract_y
_atom_site_fract_z
La1 La 0.0000 0.2446 0.2500
La2 La 0.0000 0.7554 0.7500
La3 La 0.2446 0.0000 0.2500
La4 La 0.2446 0.2446 0.7500
La5 La 0.7554 0.0000 0.7500
La6 La 0.7554 0.7554 0.2500
Pr1 Pr 0.3333 0.6667 0.0000
Pr2 Pr 0.3333 0.6667 0.5000
Pr3 Pr 0.6667 0.3333 0.0000
Pr4 Pr 0.6667 0.3333 0.5000
Pb1 Pb 0.0000 0.3927 0.7500
Pb2 Pb 0.0000 0.6073 0.2500
Pb3 Pb 0.3927 0.0000 0.7500
Pb4 Pb 0.3927 0.3927 0.2500
Pb5 Pb 0.6073 0.0000 0.2500
Pb6 Pb 0.6073 0.6073 0.7500
```